Y5Tm4Sc4 (PBE, relaxed); theoretical density = 5.71 g/cm³; symmetry = No. 87; energy = -5.758 eV per atom; spin magnetization = 0.00 μB per formula unit
1.0
-6.2245 6.2245 2.4402
6.2245 -6.2245 2.4402
6.2245 6.2245 -2.4402
Y Tm Sc
5 4 4
direct
0.0000 0.0000 0.0000 Y
0.3059 0.4590 0.7650 Y
0.4590 0.6941 0.1531 Y
0.5410 0.3059 0.8469 Y
0.6941 0.5410 0.2350 Y
0.0774 0.6173 0.6947 Tm
0.3827 0.0774 0.4600 Tm
0.6173 0.9226 0.5400 Tm
0.9226 0.3827 0.3053 Tm
0.1564 0.2331 0.3896 Sc
0.2331 0.8436 0.0767 Sc
0.7669 0.1564 0.9233 Sc
0.8436 0.7669 0.6104 Sc